Record 1
Density functional theory data (PBE-GGA) for a relaxed Zr2ScOs crystal.

Values from the calculation:
The density of states at the Fermi level comes out at 5.241 states/eV/f.u. As for the theoretical density: 7.90 Mg/m³. As for the formation energy: -0.087 eV/atom. The energy is -8.751 eV/atom.

Geometry as CIF:
```
data_Zr2ScOs
_chemical_formula_sum 'Zr8 Sc4 Os4'
_cell_length_a 6.3644
_cell_length_b 6.5893
_cell_length_c 8.3721
_cell_angle_alpha 90.00
_cell_angle_beta 90.00
_cell_angle_gamma 90.00
_space_group_name_H-M_alt 'P n m a'
_space_group_IT_number 62
_space_group_name_Hall '-P 2ac 2n'
loop_
_atom_site_label
_atom_site_fract_x
_atom_site_fract_y
_atom_site_fract_z
Zr1 0.1211 0.0117 0.1783
Sc1 0.0563 0.2500 0.4947
Os1 0.1859 0.2500 0.8966
```

=====

Record 2
Density functional theory data (PBE-GGA) for a relaxed Sr2Mg5Hg3 crystal.

Values from the calculation:
The density of states at the Fermi level comes out at 6.405 states/eV/f.u. As for the theoretical density: 5.58 Mg/m³. As for the formation energy: -0.284 eV/atom. The energy is -1.508 eV/atom.

Geometry as CIF:
```
data_Sr2Mg5Hg3
_chemical_formula_sum 'Sr8 Mg20 Hg12'
_cell_length_a 4.7959
_cell_length_b 28.6058
_cell_length_c 7.7906
_cell_angle_alpha 90.00
_cell_angle_beta 90.00
_cell_angle_gamma 90.00
_space_group_name_H-M_alt 'C m c 21'
_space_group_IT_number 36
_space_group_name_Hall 'C 2c -2'
loop_
_atom_site_label
_atom_site_fract_x
_atom_site_fract_y
_atom_site_fract_z
Sr1 0.0000 0.0206 0.0000
Sr2 0.0000 0.3223 0.9515
Mg1 0.0000 0.1008 0.6431
Mg2 0.0000 0.2074 0.7595
Mg3 0.0000 0.2097 0.1424
Mg4 0.0000 0.3693 0.4628
Mg5 0.0000 0.4421 0.8234
Hg1 0.0000 0.1139 0.2515
Hg2 0.0000 0.2663 0.4514
Hg3 0.0000 0.4541 0.2082
```

=====

Record 3
Density functional theory data (PBE-GGA) for a relaxed CeYSc2Ru4 crystal.

Values from the calculation:
The density of states at the Fermi level comes out at 3.672 states/eV/f.u. As for the theoretical density: 8.22 Mg/m³. As for the formation energy: -0.481 eV/atom. The energy is -8.251 eV/atom.

Geometry as CIF:
```
data_CeYSc2Ru4
_chemical_formula_sum 'Ce3 Y3 Sc6 Ru12'
_cell_length_a 4.7080
_cell_length_b 4.7080
_cell_length_c 22.8370
_cell_angle_alpha 90.00
_cell_angle_beta 90.00
_cell_angle_gamma 120.00
_space_group_name_H-M_alt 'R -3 m'
_space_group_IT_number 166
_space_group_name_Hall '-R 3 2"'
loop_
_atom_site_label
_atom_site_fract_x
_atom_site_fract_y
_atom_site_fract_z
Ce1 0.0000 0.0000 0.0000
Y1 0.0000 0.0000 0.5000
Sc1 0.0000 0.0000 0.2473
Ru1 0.0000 0.0000 0.1208
Ru2 0.0000 0.0000 0.3720
```